Record 1
First-principles (GGA-PBE) data for a relaxed La3DyPu2S6 crystal, as listed in Alexandria via LeMat-Bulk.

Lattice parameters (Å, degrees): 6.987 6.987 7.059 99.48 99.48 120.01
Element x y z (fractional)
La 0.000 0.000 0.000
La 0.332 0.668 0.000
La 0.668 0.332 0.000
Dy 0.500 0.500 0.500
Pu 0.167 0.833 0.500
Pu 0.833 0.167 0.500
S 0.091 0.422 0.267
S 0.247 0.247 0.735
S 0.422 0.091 0.267
S 0.578 0.909 0.733
S 0.753 0.753 0.265
S 0.909 0.578 0.733

uncorrected energy	-8.077	eV/atom
ΔE_f (raw)	-2009	meV per atom
DOS(E_F)	17.0	states/eV/f.u.

=====

Record 2
First-principles (GGA-PBE) data for a relaxed LaDyPu2S4 crystal, as listed in Alexandria via LeMat-Bulk.

Lattice parameters (Å, degrees): 6.922 3.984 6.937 90.00 109.26 90.00
Element x y z (fractional)
La 0.000 0.000 0.000
Dy 0.500 0.500 0.000
Pu 0.000 0.500 0.500
Pu 0.500 0.000 0.500
S 0.258 0.000 0.748
S 0.262 0.500 0.259
S 0.738 0.500 0.741
S 0.742 0.000 0.252

uncorrected energy	-8.763	eV/atom
ΔE_f (raw)	-1925	meV per atom
DOS(E_F)	15.3	states/eV/f.u.

=====

Record 3
First-principles (GGA-PBE) data for a relaxed LaDy2PuS4 crystal, as listed in Alexandria via LeMat-Bulk.

Lattice parameters (Å, degrees): 6.899 3.960 6.933 90.00 109.14 90.00
Element x y z (fractional)
La 0.000 0.000 0.000
Dy 0.000 0.500 0.500
Dy 0.500 0.000 0.500
Pu 0.500 0.500 0.000
S 0.253 0.000 0.740
S 0.261 0.500 0.265
S 0.739 0.500 0.735
S 0.747 0.000 0.260

uncorrected energy	-7.613	eV/atom
ΔE_f (raw)	-1991	meV per atom
DOS(E_F)	8.6	states/eV/f.u.

=====

Record 4
First-principles (GGA-PBE) data for a relaxed La2DyPuS4 crystal, as listed in Alexandria via LeMat-Bulk.

Lattice parameters (Å, degrees): 6.987 4.019 7.053 90.00 109.13 90.00
Element x y z (fractional)
La 0.000 0.000 0.000
La 0.500 0.500 0.000
Dy 0.000 0.500 0.500
Pu 0.500 0.000 0.500
S 0.241 0.000 0.732
S 0.254 0.500 0.267
S 0.746 0.500 0.733
S 0.759 0.000 0.268

uncorrected energy	-7.693	eV/atom
ΔE_f (raw)	-2031	meV per atom
DOS(E_F)	9.1	states/eV/f.u.

=====

Record 5
First-principles (GGA-PBE) data for a relaxed LaDy2PuSe4 crystal, as listed in Alexandria via LeMat-Bulk.

Lattice parameters (Å, degrees): 7.191 4.128 7.229 90.00 109.11 90.00
Element x y z (fractional)
La 0.000 0.000 0.000
Dy 0.000 0.500 0.500
Dy 0.500 0.000 0.500
Pu 0.500 0.500 0.000
Se 0.252 0.000 0.740
Se 0.260 0.500 0.264
Se 0.740 0.500 0.736
Se 0.748 0.000 0.260

uncorrected energy	-7.073	eV/atom
ΔE_f (raw)	-1772	meV per atom
DOS(E_F)	10.2	states/eV/f.u.

=====

Record 6
First-principles (GGA-PBE) data for a relaxed La2Dy3PuSe6 crystal, as listed in Alexandria via LeMat-Bulk.

Lattice parameters (Å, degrees): 9.343 9.343 8.398 103.71 103.71 25.57
Element x y z (fractional)
La 0.165 0.165 0.332
La 0.835 0.835 0.668
Dy 0.168 0.168 0.836
Dy 0.500 0.500 0.500
Dy 0.832 0.832 0.164
Pu 0.500 0.500 0.000
Se 0.005 0.005 0.748
Se 0.332 0.332 0.928
Se 0.337 0.337 0.406
Se 0.663 0.663 0.594
Se 0.668 0.668 0.072
Se 0.995 0.995 0.252

uncorrected energy	-6.721	eV/atom
ΔE_f (raw)	-1812	meV per atom
DOS(E_F)	10.5	states/eV/f.u.

=====

Among the records above, which one has the highest DOS(E_F)? La3DyPu2S6

=====

Which of these has the highest uncorrected energy? La2Dy3PuSe6